Computed, not measured: an optimized crystal structure of KNi2Sb at the PBEsol level of DFT.

The magnetic moment comes out at 0.00 μB/f.u. The value obtained for the uncorrected energy is -4.195 eV/atom.

The structure belongs to space group Pmmm (No. 47); the cell edges are 3.208, 3.265 and 7.593 Å and the angles 90.00°, 90.00° and 90.00°. Symmetry generates all atoms from K at (0.000, 0.000, 0.000), Ni at (0.500, 0.500, 0.335) and Sb at (0.000, 0.000, 0.500).